No. 1
SmYTl2 | GGA-PBE | optimized geometry

The structure in POSCAR format:
```
SmYTl2
1.0
0.000 3.834 3.834
3.834 0.000 3.834
3.834 3.834 0.000
Sm Y Tl
1 1 2
direct
0.000 0.000 0.000
0.500 0.500 0.500
0.250 0.250 0.250
0.750 0.750 0.750
```

Results
The calculation puts the final energy at -4.36 eV/atom. The space-group type is Fm-3m, No. 225. Its energy above the most stable polymorph in this dataset is 6 meV per atom.

---

No. 2
Sm4YTl | GGA-PBE | optimized geometry

The structure in POSCAR format:
```
Sm4YTl
1.0
4.431 -7.155 0.000
4.431 7.155 0.000
-2.163 0.000 6.188
Sm Y Tl
8 2 2
direct
0.094 0.714 0.958
0.162 0.409 0.621
0.286 0.906 0.542
0.409 0.162 0.121
0.591 0.838 0.879
0.714 0.094 0.458
0.838 0.591 0.379
0.906 0.286 0.042
0.413 0.587 0.250
0.587 0.413 0.750
0.000 0.000 0.250
0.000 0.000 0.750
```

Results
The calculation puts the final energy at -4.64 eV/atom. The space-group type is C2/c, No. 15. Its energy above the most stable polymorph in this dataset is 13 meV per atom.

---

No. 3
Sm9Y4Tl11 | GGA-PBE | optimized geometry

The structure in POSCAR format:
```
Sm9Y4Tl11
1.0
8.838 -10.872 0.000
8.838 10.872 0.000
0.000 0.000 3.601
Sm Y Tl
9 4 11
direct
0.000 0.000 0.000
0.124 0.643 0.000
0.293 0.468 0.000
0.357 0.876 0.000
0.468 0.293 0.000
0.532 0.707 0.000
0.643 0.124 0.000
0.707 0.532 0.000
0.876 0.357 0.000
0.070 0.237 0.000
0.237 0.070 0.000
0.763 0.930 0.000
0.930 0.763 0.000
0.083 0.433 0.500
0.134 0.866 0.500
0.265 0.265 0.500
0.328 0.672 0.500
0.433 0.083 0.500
0.500 0.500 0.500
0.567 0.917 0.500
0.672 0.328 0.500
0.735 0.735 0.500
0.866 0.134 0.500
0.917 0.567 0.500
```

Results
The calculation puts the final energy at -4.23 eV/atom. The space-group type is Cmmm, No. 65.

---

No. 4
Sm6YTl | GGA-PBE | optimized geometry

The structure in POSCAR format:
```
Sm6YTl
1.0
6.428 0.000 0.000
-0.463 6.414 0.000
-0.467 -0.513 6.398
Sm Y Tl
6 1 1
direct
0.038 0.041 0.259
0.241 0.461 0.959
0.459 0.741 0.461
0.541 0.259 0.539
0.759 0.539 0.041
0.962 0.959 0.741
0.500 0.000 0.000
0.000 0.500 0.500
```

Results
The calculation puts the final energy at -4.63 eV/atom. The space-group type is P-1, No. 2. Its energy above the most stable polymorph in this dataset is 91 meV per atom.

---

No. 5
Sm6Y12Tl | GGA-PBE | optimized geometry

The structure in POSCAR format:
```
Sm6Y12Tl
1.0
5.978 3.451 5.022
-5.978 3.451 5.022
0.000 -6.903 5.022
Sm Y Tl
6 12 1
direct
0.201 0.760 0.594
0.240 0.406 0.799
0.406 0.799 0.240
0.594 0.201 0.760
0.760 0.594 0.201
0.799 0.240 0.406
0.039 0.935 0.280
0.065 0.720 0.961
0.138 0.486 0.317
0.280 0.039 0.935
0.317 0.138 0.486
0.486 0.317 0.138
0.514 0.683 0.862
0.683 0.862 0.514
0.720 0.961 0.065
0.862 0.514 0.683
0.935 0.280 0.039
0.961 0.065 0.720
0.500 0.500 0.500
```

Results
The calculation puts the final energy at -5.62 eV/atom. The space-group type is R-3, No. 148.

---

No. 6
SmY7Tl4 | GGA-PBE | optimized geometry

The structure in POSCAR format:
```
SmY7Tl4
1.0
7.350 -2.858 0.000
7.350 2.858 0.000
-5.741 0.000 8.710
Sm Y Tl
1 7 4
direct
0.000 0.000 0.000
0.062 0.062 0.395
0.210 0.210 0.879
0.278 0.278 0.339
0.500 0.500 0.000
0.722 0.722 0.661
0.790 0.790 0.121
0.938 0.938 0.605
0.314 0.314 0.667
0.438 0.438 0.246
0.562 0.562 0.754
0.686 0.686 0.333
```

Results
The calculation puts the final energy at -5.00 eV/atom. The space-group type is C2/m, No. 12.

---

No. 7
Sm6YTl2 | GGA-PBE | optimized geometry

The structure in POSCAR format:
```
Sm6YTl2
1.0
6.553 -1.904 0.000
6.553 1.904 0.000
-3.750 0.000 11.445
Sm Y Tl
6 1 2
direct
0.013 0.013 0.343
0.307 0.307 0.412
0.315 0.315 0.124
0.685 0.685 0.876
0.693 0.693 0.588
0.987 0.987 0.657
0.000 0.000 0.000
0.363 0.363 0.799
0.637 0.637 0.201
```

Results
The calculation puts the final energy at -4.55 eV/atom. The space-group type is C2/m, No. 12.

---

No. 8
SmY3Tl | GGA-PBE | optimized geometry

The structure in POSCAR format:
```
SmY3Tl
1.0
2.441 -12.699 0.000
2.441 12.699 0.000
0.000 0.000 4.868
Sm Y Tl
2 6 2
direct
0.149 0.851 0.750
0.851 0.149 0.250
0.049 0.951 0.250
0.250 0.750 0.250
0.447 0.553 0.250
0.553 0.447 0.750
0.750 0.250 0.750
0.951 0.049 0.750
0.347 0.653 0.750
0.653 0.347 0.250
```

Results
The calculation puts the final energy at -5.42 eV/atom. The space-group type is Cmcm, No. 63. Its energy above the most stable polymorph in this dataset is 0 meV per atom.

---

No. 9
Sm3Y2Tl2 | GGA-PBE | optimized geometry

The structure in POSCAR format:
```
Sm3Y2Tl2
1.0
4.743 -2.743 0.000
4.743 2.743 0.000
-3.178 0.000 8.134
Sm Y Tl
3 2 2
direct
0.000 0.000 0.000
0.156 0.156 0.468
0.844 0.844 0.532
0.425 0.425 0.275
0.575 0.575 0.725
0.285 0.285 0.855
0.715 0.715 0.145
```

Results
The calculation puts the final energy at -4.76 eV/atom. The space-group type is C2/m, No. 12. Its energy above the most stable polymorph in this dataset is 0 meV per atom.

---

No. 10
Sm9YTl2 | GGA-PBE | optimized geometry

The structure in POSCAR format:
```
Sm9YTl2
1.0
4.957 0.000 0.000
0.000 4.957 0.000
0.000 0.000 15.270
Sm Y Tl
9 1 2
direct
0.000 0.000 0.000
0.000 0.000 0.337
0.000 0.000 0.663
0.000 0.500 0.173
0.000 0.500 0.500
0.000 0.500 0.827
0.500 0.000 0.173
0.500 0.000 0.500
0.500 0.000 0.827
0.500 0.500 0.000
0.500 0.500 0.340
0.500 0.500 0.660
```

Results
The calculation puts the final energy at -4.59 eV/atom. The space-group type is P4/mmm, No. 123.

---

No. 11
Sm2YTl | GGA-PBE | optimized geometry

The structure in POSCAR format:
```
Sm2YTl
1.0
-1.944 2.697 5.939
1.944 -2.697 5.939
1.944 2.697 -5.939
Sm Y Tl
2 1 1
direct
0.221 0.221 0.000
0.779 0.779 0.000
0.500 0.000 0.500
0.000 0.500 0.500
```

Results
The calculation puts the final energy at -4.74 eV/atom. The space-group type is Immm, No. 71. Its energy above the most stable polymorph in this dataset is 20 meV per atom.

---

No. 12
Sm2YTl | GGA-PBE | optimized geometry

The structure in POSCAR format:
```
Sm2YTl
1.0
1.851 1.069 10.894
-1.851 1.069 10.894
0.000 -2.137 10.894
Sm Y Tl
2 1 1
direct
0.000 0.000 0.000
0.177 0.177 0.177
0.755 0.755 0.755
0.589 0.589 0.589
```

Results
The calculation puts the final energy at -4.67 eV/atom. The space-group type is R3m, No. 160. Its energy above the most stable polymorph in this dataset is 93 meV per atom.

---

- Which value of final energy does entry 7 give?
  -4.55 eV/atom